# CaCe4Sb5

An optimized crystal structure of CaCe4Sb5 (PBE, Alexandria via LeMat-Bulk).

Cell and atoms, written as extended XYZ:
```
10
Lattice="4.433 0.000 -0.855 -0.328 6.126 -1.701 0.004 0.005 11.935" Properties=species:S:1:pos:R:3 pbc="T T T"
Ca 0.000 0.000 0.000
Ce 1.650 2.462 8.553
Ce 3.287 4.906 5.123
Ce 0.821 1.225 4.256
Ce 2.458 3.669 0.827
Sb 2.639 0.631 1.763
Sb 3.453 1.846 5.982
Sb 0.655 4.286 3.397
Sb -0.164 3.063 -0.850
Sb 1.469 5.501 7.616
```

Computed properties:
crystal system	orthorhombic
M_tot	2.861	μB per cell
uncorrected energy	-5.66	eV/atom
V	324.18	Å³ per cell
E_form (uncorrected)	-1.02	eV/atom



# NiPdSN2

An optimized crystal structure of NiPdSN2 (PBE, Alexandria via LeMat-Bulk).

Cell and atoms, written as extended XYZ:
```
5
Lattice="-2.819 1.748 -1.959 0.153 -2.760 -2.684 -3.508 -2.733 2.610" Properties=species:S:1:pos:R:3 pbc="T T T"
Ni -3.087 -1.872 -1.016
S -1.754 -1.366 1.305
Pd 0.000 0.000 0.000
N 0.076 -1.380 -1.342
N -1.410 0.874 -0.979
```

Computed properties:
crystal system	tetragonal
E above lowest polymorph	47.0	kJ per mole of atoms
M_tot	4.393	μB per cell
uncorrected energy	-4.70	eV/atom
V	76.52	Å³ per cell
E_form (uncorrected)	1.65	eV/atom



# Pr2Dy6YEr3

An optimized crystal structure of Pr2Dy6YEr3 (PBE, Alexandria via LeMat-Bulk).

Cell and atoms, written as extended XYZ:
```
12
Lattice="-1.234 -0.368 6.037 -4.467 -1.051 -4.129 4.663 -10.830 -0.756" Properties=species:S:1:pos:R:3 pbc="T T T"
Pr -3.389 -0.823 -0.741
Pr -2.312 -0.596 2.649
Dy -0.252 -9.022 2.557
Dy -3.102 -3.826 1.243
Dy -0.786 -3.228 -1.405
Dy -1.328 -9.249 -0.828
Dy 2.064 -8.424 -0.091
Dy 0.290 -3.001 1.980
Y 0.000 0.000 0.000
Er -1.598 -6.352 -2.817
Er 0.560 -5.897 3.969
Er -0.519 -6.125 0.576
```

Computed properties:
formation enthalpy at 0 K	23	kJ/mol of formula units
crystal system	monoclinic
M_tot	0.000	μB per cell
uncorrected energy	-4.76	eV/atom
V	384.20	Å³ per cell



# InTcWBr2

An optimized crystal structure of InTcWBr2 (PBE, Alexandria via LeMat-Bulk).

Cell and atoms, written as extended XYZ:
```
5
Lattice="5.149 0.000 0.000 0.000 5.149 0.000 0.000 0.000 5.739" Properties=species:S:1:pos:R:3 pbc="T T T"
Br 0.000 2.574 0.000
Br 2.574 0.000 0.000
Tc 2.574 2.574 2.869
W 0.000 0.000 2.869
In 0.000 0.000 0.000
```

Computed properties:
crystal system	tetragonal
M_tot	0.154	μB per cell
uncorrected energy	-3.46	eV/atom
V	152.13	Å³ per cell
E_form (uncorrected)	2.42	eV/atom



# Mg2Cu3Se

An optimized crystal structure of Mg2Cu3Se (PBE, Alexandria via LeMat-Bulk).

Cell and atoms, written as extended XYZ:
```
6
Lattice="-3.878 0.566 3.348 -0.429 -3.097 4.098 0.856 1.781 4.761" Properties=species:S:1:pos:R:3 pbc="T T T"
Mg -0.411 -0.089 1.455
Mg -3.040 -0.660 10.753
Cu -2.153 -1.265 3.723
Cu -1.511 1.173 4.055
Cu 0.214 -0.658 4.430
Se -1.725 -0.375 6.104
```

Computed properties:
crystal system	trigonal
E above lowest polymorph	14.8	kJ per mole of atoms
M_tot	0.000	μB per cell
uncorrected energy	-3.28	eV/atom
V	94.94	Å³ per cell
E_form (uncorrected)	-0.12	eV/atom



# LaTbHo4S8

An optimized crystal structure of LaTbHo4S8 (PBE, Alexandria via LeMat-Bulk).

Cell and atoms, written as extended XYZ:
```
14
Lattice="8.093 0.000 0.000 4.046 7.008 0.000 4.046 2.336 6.629" Properties=species:S:1:pos:R:3 pbc="T T T"
La 8.093 4.672 5.809
Tb 12.139 7.008 0.021
Ho 8.093 4.672 0.821
Ho 12.139 4.691 3.307
Ho 10.132 8.167 3.307
Ho 14.146 8.167 3.307
S 8.093 7.237 4.870
S 10.314 3.390 4.870
S 5.872 3.390 4.870
S 4.046 2.336 1.919
S 8.093 2.224 1.720
S 5.972 5.896 1.720
S 10.213 5.896 1.720
S 12.139 7.008 4.831
```

Computed properties:
crystal system	trigonal
M_tot	0.000	μB per cell
uncorrected energy	-6.29	eV/atom
V	375.98	Å³ per cell
E_form (uncorrected)	-1.94	eV/atom



# Ba2AcRh9

An optimized crystal structure of Ba2AcRh9 (PBE, Alexandria via LeMat-Bulk).

Cell and atoms, written as extended XYZ:
```
12
Lattice="0.458 5.215 -1.659 -2.553 3.997 2.769 6.609 4.100 5.621" Properties=species:S:1:pos:R:3 pbc="T T T"
Ba 1.010 9.649 3.342
Ba 3.504 3.662 3.390
Ac 0.000 0.000 0.000
Rh 5.173 10.236 6.333
Rh -0.658 3.076 0.399
Rh 2.257 6.656 3.366
Rh 0.651 4.883 1.786
Rh 0.875 7.428 0.977
Rh -0.595 6.834 3.138
Rh 3.863 8.429 4.945
Rh 5.109 6.478 3.594
Rh 3.640 5.884 5.755
```

Computed properties:
formation enthalpy at 0 K	-215	kJ/mol of formula units
crystal system	trigonal
M_tot	0.000	μB per cell
uncorrected energy	-6.36	eV/atom
V	236.59	Å³ per cell



# In2NiAs

An optimized crystal structure of In2NiAs (PBE, Alexandria via LeMat-Bulk).

Cell and atoms, written as extended XYZ:
```
4
Lattice="5.327 0.000 0.000 1.995 4.939 0.000 -3.661 -2.469 2.979" Properties=species:S:1:pos:R:3 pbc="T T T"
As 2.663 0.000 1.489
In 0.000 0.000 0.000
In 0.998 2.469 1.489
Ni 3.661 2.469 0.000
```

Computed properties:
formation enthalpy at 0 K	93	kJ/mol of formula units
crystal system	tetragonal
M_tot	0.000	μB per cell
uncorrected energy	-3.74	eV/atom
V	78.35	Å³ per cell



# HoTm4Te2

An optimized crystal structure of HoTm4Te2 (PBE, Alexandria via LeMat-Bulk).

Cell and atoms, written as extended XYZ:
```
7
Lattice="-2.139 -3.830 -3.091 2.374 -1.361 -4.617 4.825 -7.793 1.659" Properties=species:S:1:pos:R:3 pbc="T T T"
Ho 2.530 -6.492 -3.024
Tm 3.990 -9.987 -4.363
Tm 2.149 -7.635 -6.003
Tm 1.070 -2.997 -1.686
Tm 2.911 -5.349 -0.046
Te 0.842 -4.336 -4.528
Te 4.218 -8.648 -1.521
```

Computed properties:
crystal system	trigonal
M_tot	0.000	μB per cell
uncorrected energy	-4.57	eV/atom
V	219.11	Å³ per cell
E_form (uncorrected)	-0.46	eV/atom



# Pm8Sm3Dy

An optimized crystal structure of Pm8Sm3Dy (PBE, Alexandria via LeMat-Bulk).

Cell and atoms, written as extended XYZ:
```
12
Lattice="-7.922 0.961 -2.893 0.975 -3.328 7.748 4.414 7.031 1.770" Properties=species:S:1:pos:R:3 pbc="T T T"
Pm -2.618 1.385 0.894
Pm 0.046 3.253 5.664
Pm -6.074 0.220 3.402
Pm -4.344 5.430 0.396
Pm 0.044 1.620 2.833
Pm -5.283 1.185 -0.986
Pm 4.473 4.067 6.406
Pm 3.620 1.496 7.890
Sm -2.127 -0.258 4.807
Sm -0.407 4.922 1.818
Sm 2.694 1.852 4.759
Dy 0.000 0.000 0.000
```

Computed properties:
formation enthalpy at 0 K	663	kJ/mol of formula units
crystal system	tetragonal
M_tot	0.000	μB per cell
uncorrected energy	-4.16	eV/atom
V	447.13	Å³ per cell



# Na5Ca2Tl12

An optimized crystal structure of Na5Ca2Tl12 (PBE, Alexandria via LeMat-Bulk).

Cell and atoms, written as extended XYZ:
```
19
Lattice="11.207 0.000 0.000 -5.603 11.610 1.066 0.000 -4.540 3.933" Properties=species:S:1:pos:R:3 pbc="T T T"
Na 0.000 4.208 3.878
Na 0.000 5.053 0.483
Na 0.000 -2.270 1.967
Na 5.603 2.017 4.517
Na 5.603 2.862 1.122
Ca 8.397 0.000 0.000
Ca 2.810 0.000 0.000
Tl 0.000 1.371 1.186
Tl -2.833 8.365 1.613
Tl 2.833 8.365 1.613
Tl -2.858 5.131 2.194
Tl 2.858 5.131 2.194
Tl 0.000 7.633 3.214
Tl 5.603 -0.563 1.785
Tl 8.462 1.939 2.805
Tl 2.745 1.939 2.805
Tl 8.436 -1.295 3.387
Tl 2.771 -1.295 3.387
Tl 5.603 5.700 3.814
```

Computed properties:
formation enthalpy at 0 K	-252	kJ/mol of formula units
crystal system	monoclinic
M_tot	0.000	μB per cell
uncorrected energy	-2.19	eV/atom
V	565.99	Å³ per cell



# Al2PtBr

An optimized crystal structure of Al2PtBr (PBE, Alexandria via LeMat-Bulk).

Cell and atoms, written as extended XYZ:
```
4
Lattice="7.220 -0.012 -0.029 -3.517 3.793 0.026 0.185 1.159 2.738" Properties=species:S:1:pos:R:3 pbc="T T T"
Br -1.666 2.476 1.382
Pt 1.851 1.890 -0.002
Al 0.000 0.000 0.000
Al 3.703 0.573 1.355
```

Computed properties:
crystal system	monoclinic
E above lowest polymorph	43.5	kJ per mole of atoms
M_tot	0.000	μB per cell
uncorrected energy	-3.97	eV/atom
V	74.79	Å³ per cell
E_form (uncorrected)	-0.17	eV/atom



> What is the V in the first record?

324.18 Å³ per cell



> Which value of V does entry 8 give?

78.35 Å³ per cell



> What is the uncorrected energy in the eighth record?

-3.74 eV/atom